# 1
Compound: Nd5Np3N8
Source: Alexandria via LeMat-Bulk
Functional: GGA-PBE
Structure: optimized geometry

Results
As for the energy relative to the elements, uncorrected: -1.283 eV/atom. The total moment comes out at 0.55 μB per atom.

Cell lengths 7.104, 7.104, 7.132 Å; angles 60.13, 60.13, 60.00 degrees
Site moments in Bohr magnetons follow the coordinates.
Positions (direct):
N1 0.760 0.760 0.720  -0.12
N2 0.240 0.240 0.280  -0.12
Nd1 0.000 0.500 0.000  0.08
N3 0.250 0.250 0.721  -0.10
Np1 0.000 0.000 0.500  2.92
Nd2 0.500 0.500 0.000  0.08
N4 0.250 0.778 0.721  -0.10
Np2 0.500 0.000 0.500  2.92
Nd3 0.500 0.000 0.000  0.08
N5 0.778 0.250 0.721  -0.10
Np3 0.000 0.500 0.500  2.92
N6 0.750 0.750 0.279  -0.10
N7 0.750 0.222 0.279  -0.10
N8 0.222 0.750 0.279  -0.10
Nd4 0.500 0.500 0.500  0.05
Nd5 0.000 0.000 0.000  0.05

***

# 2
Compound: Nd2NpN3
Source: Alexandria via LeMat-Bulk
Functional: GGA-PBE
Structure: optimized geometry

Results
As for the energy relative to the elements, uncorrected: -1.052 eV/atom. The total moment comes out at 0.66 μB per atom.

Cell lengths 6.271, 6.091, 6.091 Å; angles 64.29, 89.97, 89.97 degrees
Site moments in Bohr magnetons follow the coordinates.
Positions (direct):
Nd1 0.750 0.161 0.493  0.16
N1 0.250 0.428 0.572  -0.10
N2 0.000 0.161 0.161  -0.09
Nd2 0.250 0.493 0.161  0.16
N3 0.500 0.839 0.839  -0.09
Nd3 0.750 0.507 0.839  0.16
Np1 0.750 0.889 0.111  3.33
N4 0.000 0.839 0.839  -0.09
N5 0.750 0.572 0.428  -0.10
N6 0.500 0.161 0.161  -0.09
Np2 0.250 0.111 0.889  3.33
Nd4 0.250 0.839 0.507  0.16

***

# 3
Compound: Nd5NpN6
Source: Alexandria via LeMat-Bulk
Functional: GGA-PBE
Structure: optimized geometry

Results
As for the energy relative to the elements, uncorrected: -1.355 eV/atom. The total moment comes out at 0.18 μB per atom.

Cell lengths 6.225, 6.241, 6.234 Å; angles 59.96, 80.36, 70.45 degrees
Site moments in Bohr magnetons follow the coordinates.
Positions (direct):
Np1 0.000 0.000 0.000  2.13
Nd1 0.500 0.834 0.333  0.04
N1 0.229 0.924 0.699  -0.06
N2 0.771 0.377 0.699  -0.06
Nd2 0.000 0.666 0.667  0.03
Nd3 0.500 0.500 0.000  0.05
N3 0.771 0.076 0.301  -0.06
Nd4 0.000 0.334 0.333  0.03
N4 0.229 0.623 0.301  -0.06
Nd5 0.500 0.166 0.667  0.04
N5 0.233 0.226 0.000  -0.05
N6 0.767 0.774 0.000  -0.05

***

Question: What is the formula in the first record?
Answer: Nd5Np3N8